A plane-wave DFT calculation with PBE was carried out for a geometry-optimized MgFe3Co structure.

a = 4.3609 Å, b = 4.3609 Å, c = 4.3609 Å
α = 90.00°, β = 90.00°, γ = 90.00°
With the nearest neighbours (Å) after each atom.
Atoms (fractional coordinates):
1 Mg 0.5000 0.5000 0.5000  12 Fe 3.08
2 Co 0.0000 0.0000 0.0000  6 Fe 2.18
3 Fe 0.0000 0.5000 0.0000  2 Co 2.18
4 Fe 0.0000 0.0000 0.5000  2 Co 2.18
5 Fe 0.5000 0.0000 0.0000  2 Co 2.18

Properties
distance to the lowest polymorph of the same formula	0	meV per atom
DFT formation energy	753	meV per atom
spin magnetization	9.7	μB per formula unit

***

A plane-wave DFT calculation with PBE was carried out for a geometry-optimized MgFeCo structure.

a = 4.0475 Å, b = 4.0475 Å, c = 4.0475 Å
α = 60.00°, β = 60.00°, γ = 60.00°
With the nearest neighbours (Å) after each atom.
Atoms (fractional coordinates):
1 Co 0.7500 0.7500 0.7500  4 Fe 2.48, 4 Mg 2.48
2 Fe 0.0000 0.0000 0.0000  4 Co 2.48
3 Mg 0.5000 0.5000 0.5000  4 Co 2.48

Properties
distance to the lowest polymorph of the same formula	473	meV per atom
DFT formation energy	492	meV per atom
spin magnetization	3.8	μB per formula unit

***

A plane-wave DFT calculation with PBE was carried out for a geometry-optimized Mg2FeCo structure.

a = 3.7113 Å, b = 3.9021 Å, c = 4.0604 Å
α = 90.00°, β = 90.00°, γ = 90.00°
With the nearest neighbours (Å) after each atom.
Atoms (fractional coordinates):
1 Co 0.5000 0.0000 0.5000  4 Fe 2.69, 8 Mg 2.75-2.82
2 Fe 0.0000 0.5000 0.5000  4 Co 2.69, 8 Mg 2.75-2.82
3 Mg 0.0000 0.0000 0.0000  4 Mg 2.69, 4 Co 2.75, 4 Fe 2.82
4 Mg 0.5000 0.5000 0.0000  4 Mg 2.69, 4 Fe 2.75, 4 Co 2.82

Properties
DFT formation energy	237	meV per atom
spin magnetization	3.7	μB per formula unit

***

A plane-wave DFT calculation with PBE was carried out for a geometry-optimized Mg2FeCo3 structure.

a = 4.8791 Å, b = 4.8791 Å, c = 4.8448 Å
α = 89.87°, β = 120.32°, γ = 120.07°
With the nearest neighbours (Å) after each atom.
Atoms (fractional coordinates):
1 Mg 0.7508 0.3754 0.1261  9 Co 2.84-2.85, 3 Fe 2.86, 4 Mg 2.95-2.99
2 Mg 0.2492 0.6246 0.8739  9 Co 2.84-2.85, 3 Fe 2.86, 4 Mg 2.95-2.99
3 Fe 0.0000 0.0000 0.0000  6 Co 2.42
4 Co 0.5000 0.5000 0.5000  2 Fe 2.42, 4 Co 2.44
5 Co 0.0000 0.0000 0.5000  2 Fe 2.42, 4 Co 2.44
6 Co 0.5000 0.0000 0.5000  2 Fe 2.42, 4 Co 2.44

Properties
DFT formation energy	-6	meV per atom
spin magnetization	6.5	μB per formula unit

***

A plane-wave DFT calculation with PBE was carried out for a geometry-optimized Mg2FeCo structure.

a = 2.9992 Å, b = 2.9992 Å, c = 7.0107 Å
α = 90.00°, β = 90.00°, γ = 90.00°
With the nearest neighbours (Å) after each atom.
Atoms (fractional coordinates):
1 Co 0.0000 0.0000 0.5423  4 Fe 2.40
2 Fe 0.5000 0.5000 0.7032  4 Co 2.40
3 Mg 0.0000 0.0000 0.9563  4 Fe 2.76, 1 Co 2.90, 4 Mg 3.00
4 Mg 0.5000 0.5000 0.2982  4 Co 2.72, 1 Fe 2.84, 4 Mg 3.00

Properties
DFT formation energy	59	meV per atom
spin magnetization	3.9	μB per formula unit

***

A plane-wave DFT calculation with PBE was carried out for a geometry-optimized MgFeCoMo structure.

a = 4.2054 Å, b = 4.2054 Å, c = 4.2054 Å
α = 60.00°, β = 60.00°, γ = 60.00°
With the nearest neighbours (Å) after each atom.
Atoms (fractional coordinates):
1 Mg 0.5000 0.5000 0.5000  4 Co 2.58, 4 Fe 2.58
2 Mo 0.0000 0.0000 0.0000  4 Co 2.58, 4 Fe 2.58
3 Co 0.7500 0.7500 0.7500  4 Mo 2.58, 4 Mg 2.58
4 Fe 0.2500 0.2500 0.2500  4 Mo 2.58, 4 Mg 2.58

Properties
DFT formation energy	157	meV per atom
spin magnetization	1.0	μB per formula unit

***

A plane-wave DFT calculation with PBE was carried out for a geometry-optimized MgFe2CoN structure.

a = 3.8203 Å, b = 3.8203 Å, c = 3.8630 Å
α = 90.00°, β = 90.00°, γ = 90.00°
With the nearest neighbours (Å) after each atom.
Atoms (fractional coordinates):
1 Mg 0.5000 0.5000 0.5000  4 Co 2.70, 8 Fe 2.72
2 Co 0.0000 0.0000 0.5000  2 N 1.93
3 Fe 0.0000 0.5000 0.0000  2 N 1.91
4 Fe 0.5000 0.0000 0.0000  2 N 1.91
5 N 0.0000 0.0000 0.0000  4 Fe 1.91, 2 Co 1.93

Properties
uncorrected formation energy	-2.46	kcal/mol of atoms
spin magnetization	5.0	μB per formula unit

***

A plane-wave DFT calculation with PBE was carried out for a geometry-optimized NaMg2FeCo structure.

a = 4.8102 Å, b = 4.5253 Å, c = 4.8102 Å
α = 90.00°, β = 90.00°, γ = 90.00°
With the nearest neighbours (Å) after each atom.
Atoms (fractional coordinates):
1 Na 0.0000 0.0000 0.0000  2 Co 2.26, 4 Mg 2.41
2 Mg 0.0000 0.0000 0.5000  2 Na 2.41
3 Mg 0.5000 0.0000 0.0000  2 Na 2.41
4 Co 0.0000 0.5000 0.0000  2 Na 2.26
5 Fe 0.5000 0.5000 0.5000  8 Mg 3.30, 4 Co 3.40

Properties
DFT formation energy	1504	meV per atom
spin magnetization	4.3	μB per formula unit

***

What did the fifth record say?
A plane-wave DFT calculation with PBE was carried out for a geometry-optimized Mg2FeCo structure.

a = 2.9992 Å, b = 2.9992 Å, c = 7.0107 Å
α = 90.00°, β = 90.00°, γ = 90.00°
With the nearest neighbours (Å) after each atom.
Atoms (fractional coordinates):
1 Co 0.0000 0.0000 0.5423  4 Fe 2.40
2 Fe 0.5000 0.5000 0.7032  4 Co 2.40
3 Mg 0.0000 0.0000 0.9563  4 Fe 2.76, 1 Co 2.90, 4 Mg 3.00
4 Mg 0.5000 0.5000 0.2982  4 Co 2.72, 1 Fe 2.84, 4 Mg 3.00

Properties
DFT formation energy	59	meV per atom
spin magnetization	3.9	μB per formula unit

***

Question: The lowest spin magnetization belongs to which entry?
Answer: MgFeCoMo

***

Question: Among the records above, which one has the lowest spin magnetization?
Answer: MgFeCoMo